# 1
DFT (PBE) results for an optimized crystal structure of LaGa2GeRh2.

total magnetic moment	0.00	μB per formula unit
density	7.5	g/cm³

Cell lengths 4.6301, 4.6301, 5.7388 Å; angles 90.00, 90.00, 90.00 degrees
Last column: nearest neighbours and their distance in Å.
Fractional positions:
La1 0.0000 0.0000 0.0000  2 Ge 2.87
Ga1 0.5000 0.5000 0.2471  4 Rh 2.73, 2 Ga 2.84-2.90
Ga2 0.5000 0.5000 0.7529  4 Rh 2.73, 2 Ga 2.84-2.90
Ge1 0.0000 0.0000 0.5000  4 Rh 2.32
Rh1 0.0000 0.5000 0.5000  2 Ge 2.32
Rh2 0.5000 0.0000 0.5000  2 Ge 2.32

# 2
DFT (PBE) results for an optimized crystal structure of La2GaGe4Rh3.

total magnetic moment	0.00	μB per formula unit
density	8.1	g/cm³

Cell lengths 4.3439, 4.3439, 10.2512 Å; angles 90.00, 90.00, 90.00 degrees
Last column: nearest neighbours and their distance in Å.
Fractional positions:
La1 0.0000 0.5000 0.2437  8 Ge 3.29-3.31, 6 Rh 3.32-3.41, 2 Ga 3.41
La2 0.5000 0.0000 0.7563  8 Ge 3.29-3.31, 6 Rh 3.32-3.41, 2 Ga 3.41
Ga1 0.0000 0.0000 0.5000  4 Ge 2.61
Ge1 0.0000 0.0000 0.0000  4 Rh 2.50
Ge2 0.0000 0.5000 0.6410  3 Rh 2.45-2.61, 2 Ga 2.61
Ge3 0.5000 0.0000 0.3590  3 Rh 2.45-2.61, 2 Ga 2.61
Ge4 0.5000 0.5000 0.0000  4 Rh 2.50
Rh1 0.0000 0.5000 0.8799  5 Ge 2.45-2.50
Rh2 0.5000 0.0000 0.1201  5 Ge 2.45-2.50
Rh3 0.5000 0.5000 0.5000  4 Ge 2.61

# 3
DFT (PBE) results for an optimized crystal structure of La2GaGeRh6.

total magnetic moment	0.00	μB per formula unit
density	8.7	g/cm³

Cell lengths 6.5441, 6.5441, 6.5441 Å; angles 60.00, 60.00, 60.00 degrees
Last column: nearest neighbours and their distance in Å.
Fractional positions:
La1 0.2500 0.2500 0.2500  12 Rh 3.27
La2 0.7500 0.7500 0.7500  12 Rh 3.27
Ga1 0.0000 0.0000 0.0000  6 Rh 2.33
Ge1 0.5000 0.5000 0.5000  6 Rh 2.30
Rh1 0.2512 0.2512 0.7488  1 Ge 2.30, 1 Ga 2.33
Rh2 0.2512 0.7488 0.2512  1 Ge 2.30, 1 Ga 2.33
Rh3 0.2512 0.7488 0.7488  1 Ge 2.30, 1 Ga 2.33
Rh4 0.7488 0.2512 0.2512  1 Ge 2.30, 1 Ga 2.33
Rh5 0.7488 0.2512 0.7488  1 Ge 2.30, 1 Ga 2.33
Rh6 0.7488 0.7488 0.2512  1 Ge 2.30, 1 Ga 2.33

# 4
DFT (PBE) results for an optimized crystal structure of La2GaGeRu.

total magnetic moment	0.00	μB per formula unit
density	6.5	g/cm³

Cell lengths 4.4590, 4.4590, 13.3477 Å; angles 90.00, 90.00, 90.00 degrees
Last column: nearest neighbours and their distance in Å.
Fractional positions:
La1 0.2500 0.2500 0.1168  5 Ge 3.09-3.15
La2 0.2500 0.2500 0.6534  4 Ru 3.03, 1 Ge 3.10, 5 Ga 3.25-3.32
La3 0.7500 0.7500 0.3466  4 Ru 3.03, 1 Ge 3.10, 5 Ga 3.25-3.32
La4 0.7500 0.7500 0.8832  5 Ge 3.09-3.15
Ga1 0.2500 0.2500 0.4050  4 Ru 2.56
Ga2 0.7500 0.7500 0.5950  4 Ru 2.56
Ge1 0.2500 0.2500 0.8855  6 La 3.09-3.15
Ge2 0.7500 0.7500 0.1145  6 La 3.09-3.15
Ru1 0.2500 0.7500 0.5000  4 Ga 2.56
Ru2 0.7500 0.2500 0.5000  4 Ga 2.56

# 5
DFT (PBE) results for an optimized crystal structure of LaGa2GeRu.

total magnetic moment	0.00	μB per formula unit
density	6.9	g/cm³

Cell lengths 4.7690, 4.7690, 4.8018 Å; angles 90.00, 90.00, 90.00 degrees
Last column: nearest neighbours and their distance in Å.
Fractional positions:
La1 0.0000 0.0000 0.0000  4 Ge 3.37, 8 Ga 3.38
Ga1 0.0000 0.5000 0.5000  2 Ru 2.38
Ga2 0.5000 0.0000 0.5000  2 Ru 2.38
Ge1 0.5000 0.5000 0.0000  2 Ru 2.40
Ru1 0.5000 0.5000 0.5000  4 Ga 2.38, 2 Ge 2.40

# 6
DFT (PBE) results for an optimized crystal structure of LaGaGe2Ru2.

total magnetic moment	0.81	μB per formula unit
density	7.7	g/cm³

Cell lengths 4.5777, 4.5777, 5.7077 Å; angles 90.00, 90.00, 90.00 degrees
Last column: nearest neighbours and their distance in Å.
Fractional positions:
La1 0.0000 0.0000 0.0000  2 Ga 2.85
Ga1 0.0000 0.0000 0.5000  4 Ru 2.29
Ge1 0.5000 0.5000 0.2418  4 Ru 2.72, 2 Ge 2.76-2.95
Ge2 0.5000 0.5000 0.7582  4 Ru 2.72, 2 Ge 2.76-2.95
Ru1 0.0000 0.5000 0.5000  2 Ga 2.29
Ru2 0.5000 0.0000 0.5000  2 Ga 2.29

no.,calculated total energy (eV/cell)
1,-33.1
2,-61.4
3,-65.4
4,-59.4
5,-26.6
6,-36.8